Entry from Alexandria via LeMat-Bulk: a geometry-optimized HoScNb structure (PBE).

Results
The space group is I4/mmm. The excess energy over the best structure of this formula in the dataset comes out at 0 meV per atom. The value obtained for the total magnetization is 0.00 μB/f.u. The value obtained for the energy of formation is 0.165 eV per atom. The electronic total energy comes out at -81.94 eV for the cell shown.

a b c (Å): 3.3765 3.3765 26.8623
angles (deg): 90.00 90.00 90.00
Last column: nearest neighbours and their distance in Å.
Fractional positions:
Ho (0.0000, 0.0000, 0.0628)  5 Ho 3.38, 4 Sc 3.44
Ho (0.0000, 0.0000, 0.9372)  5 Ho 3.38, 4 Sc 3.44
Ho (0.5000, 0.5000, 0.4372)  5 Ho 3.38, 4 Sc 3.44
Ho (0.5000, 0.5000, 0.5628)  5 Ho 3.38, 4 Sc 3.44
Sc (0.0000, 0.0000, 0.3448)  5 Nb 3.04-3.22, 4 Sc 3.38
Sc (0.0000, 0.0000, 0.6552)  5 Nb 3.04-3.22, 4 Sc 3.38
Sc (0.5000, 0.5000, 0.1552)  5 Nb 3.04-3.22, 4 Sc 3.38
Sc (0.5000, 0.5000, 0.8448)  5 Nb 3.04-3.22, 4 Sc 3.38
Nb (0.0000, 0.0000, 0.2251)  4 Nb 2.74, 4 Sc 3.04
Nb (0.0000, 0.0000, 0.7749)  4 Nb 2.74, 4 Sc 3.04
Nb (0.5000, 0.5000, 0.2749)  4 Nb 2.74, 4 Sc 3.04
Nb (0.5000, 0.5000, 0.7251)  4 Nb 2.74, 4 Sc 3.04